(1)
66
Lattice="5.2301 0.0224 0.0000 -1.0602 9.5791 0.0000 0.0000 0.0000 11.6267" Properties=species:S:1:pos:R:3 comment="Mg7P2H8O16 | Alexandria | meta-GGA SCAN | PBEsol geometry" e_tot_ev_per_atom=-7.857 spacegroup="P2_1/c (14)" pbc="T T T"
P 1.6060 7.5672 10.7011
P -0.5812 6.8127 4.8877
P 2.5639 2.0344 0.9256
P 4.7512 2.7889 6.7390
H 1.6717 7.7004 4.0011
H 1.2252 6.0202 2.9627
H 0.8716 6.2868 7.3399
H 4.4806 6.7294 0.2689
H 4.8169 2.9220 1.8123
H 3.2983 3.3148 4.2868
H 2.4982 1.9012 7.6256
H -0.6470 6.6796 9.8144
H 0.1531 8.0932 1.5266
H 4.0168 1.5084 10.1001
H 1.7742 7.6730 6.0823
H -0.3107 2.8722 11.3578
H 4.3703 1.2419 2.8507
H 2.3957 1.9286 5.5444
H -0.2004 8.3597 8.7760
H 2.9447 3.5814 8.6640
O 1.7453 5.9905 2.1291
O -0.1161 3.7117 2.3067
O -0.7205 8.3894 7.9424
O 4.7779 1.2116 6.6193
O 2.2010 1.0891 8.1200
O 3.7877 6.1852 5.9952
O 2.5852 3.9361 4.0280
O -0.6080 8.3900 5.0074
O 1.6328 5.9899 10.8208
O 3.2567 3.2101 6.6295
O 0.0556 3.1488 8.1276
O 0.3823 3.4164 5.6315
O 4.7299 0.8871 9.8413
O 2.4246 3.6110 9.4976
O 2.1086 1.1057 5.0738
O 2.4672 8.2172 0.1818
O 1.5848 5.6655 7.5987
O 2.1405 7.9496 9.3125
O 4.1144 6.4528 3.4991
O 4.2860 5.8899 9.3200
O 4.0584 1.6132 0.8162
O -0.5600 8.7145 1.7854
O 0.9132 6.3915 4.9972
O 1.7027 1.3844 11.4449
O 0.1115 7.9884 10.8105
O 1.9689 8.5125 3.5067
O 2.5371 3.6117 0.8059
O -0.0236 3.6951 10.8872
O 2.0613 8.4959 6.5529
O 2.0294 1.6520 2.3142
O 4.8904 1.2122 3.6843
O 4.1935 5.9065 0.7395
Mg 0.7469 4.7637 9.1961
Mg 0.7681 4.8345 0.8134
Mg 2.0850 4.8008 5.8134
Mg 1.1372 2.0395 9.5708
Mg 3.4018 4.7671 10.8133
Mg 0.9477 2.7613 3.7574
Mg 3.4230 4.8379 2.4306
Mg 3.0327 7.5621 2.0559
Mg 3.9133 0.0561 4.9999
Mg 0.2566 9.5455 6.6268
Mg 1.3380 0.0371 3.3828
Mg 0.0000 0.0000 0.0000
Mg 2.8319 9.5645 8.2439
Mg 3.2222 6.8403 7.8693

---

(2)
37
Lattice="-2.6706 -3.7248 -0.6823 6.8616 -3.7106 2.5451 -3.4446 2.8874 6.8647" Properties=species:S:1:pos:R:3 comment="Mg3P2H16O16 | Alexandria | meta-GGA SCAN | PBEsol geometry" e_tot_ev_per_atom=-6.877 spacegroup="C2/m (12)" pbc="T T T"
H -3.2580 -1.1692 5.1793
H -2.1018 -1.9361 1.0982
H -2.1214 -0.8744 4.0451
H 4.0044 -3.3788 3.5482
H 2.6459 -4.9487 2.7049
H 2.8482 -2.6119 7.6293
H 1.3678 0.0368 8.1343
H -1.2407 -1.0434 6.4044
H 1.1798 -1.5438 8.3285
H 1.9871 -3.5046 2.3231
H 3.9728 -1.6309 7.0425
H 2.8678 -3.6736 4.6825
H -0.6214 -4.5848 0.5932
H -1.8995 0.4007 6.0227
H -3.2264 -2.9171 1.6850
H -0.4334 -3.0042 0.3990
O 1.5953 -1.7665 2.6148
O 1.2378 -2.9828 7.5092
O 1.2815 -1.5618 5.4431
O -3.1103 1.5025 5.3041
O 4.8307 -3.5812 1.9758
O -0.8489 -2.7815 6.1127
O -0.4914 -1.5651 1.2183
O -4.0843 -0.9668 6.7517
O 3.6148 -3.0671 4.4115
O -0.4611 -0.4500 3.4767
O 1.2075 -4.0980 5.2508
O 1.8359 -4.4925 2.3444
O 3.8567 -6.0505 3.4234
O -2.8684 -1.4809 4.3160
O -0.5351 -2.9862 3.2844
O -1.0895 -0.0555 6.3832
P 0.7001 -2.8597 6.0383
P 0.0463 -1.6883 2.6892
Mg 0.0000 0.0000 0.0000
Mg 2.8864 -1.1657 4.2112
Mg 0.5306 0.3425 5.1986